Here is Co2NiAuN after structural relaxation from Alexandria. Energies are from PBE-GGA.

Magnetization: 3.2 μB/f.u.
Uncorrected energy: -29.59 eV for the cell shown
Relative energy among the computed polymorphs: 0.365 eV/atom
ΔE_f (raw): 0.401 eV per atom
Space-group type: P4/mmm (123)

abc: 3.701 4.418 3.701
angles: 90.00 90.00 90.00
Each line ends with the local moment (μB).
Sites, in units of the cell vectors:
Au: 0.000 0.500 0.000  0.01
Co: 0.500 0.000 0.000  1.54
Co: 0.000 0.000 0.500  0.99
Ni: 0.500 0.500 0.500  0.65
N: 0.000 0.000 0.000  0.06

Here is Co2NiAuN after structural relaxation from Alexandria. Energies are from PBE-GGA.

Magnetization: 3.2 μB/f.u.
Uncorrected energy: -31.42 eV for the cell shown
Relative energy among the computed polymorphs: 0.000 eV/atom
ΔE_f (raw): 0.035 eV per atom
Space-group type: P4/mmm (123)

abc: 3.819 3.819 3.883
angles: 90.00 90.00 90.00
Each line ends with the local moment (μB).
Sites, in units of the cell vectors:
Co: 0.000 0.500 0.000  1.42
Ni: 0.000 0.000 0.500  0.29
N: 0.000 0.000 0.000  0.07
Co: 0.500 0.000 0.000  1.42
Au: 0.500 0.500 0.500  0.03

Here is CoPd2AuN after structural relaxation from Alexandria. Energies are from PBE-GGA.

Magnetization: 0.0 μB/f.u.
Uncorrected energy: -28.40 eV for the cell shown
ΔE_f (raw): 0.140 eV per atom
Space-group type: P4/mmm (123)

abc: 4.360 4.360 3.563
angles: 90.00 90.00 90.00
Sites, in units of the cell vectors:
Pd: 0.500 0.000 0.000
Au: 0.500 0.500 0.500
N: 0.000 0.000 0.000
Pd: 0.000 0.500 0.000
Co: 0.000 0.000 0.500

Here is Co2ReAuN after structural relaxation from Alexandria. Energies are from PBE-GGA.

Magnetization: 3.0 μB/f.u.
Uncorrected energy: -37.31 eV for the cell shown
ΔE_f (raw): 0.191 eV per atom
Space-group type: P4/mmm (123)

abc: 3.941 3.941 3.963
angles: 90.00 90.00 90.00
Each line ends with the local moment (μB).
Sites, in units of the cell vectors:
N: 0.000 0.000 0.000  0.00
Co: 0.500 0.000 0.000  1.32
Co: 0.000 0.500 0.000  1.32
Re: 0.000 0.000 0.500  0.28
Au: 0.500 0.500 0.500  0.09

Here is CoRh2AuN after structural relaxation from Alexandria. Energies are from PBE-GGA.

Magnetization: 2.1 μB/f.u.
Uncorrected energy: -32.42 eV for the cell shown
ΔE_f (raw): 0.198 eV per atom
Space-group type: P4/mmm (123)

abc: 4.128 4.128 3.836
angles: 90.00 90.00 90.00
Each line ends with the local moment (μB).
Sites, in units of the cell vectors:
Au: 0.500 0.500 0.500  0.06
Co: 0.000 0.000 0.500  1.47
Rh: 0.500 0.000 0.000  0.29
Rh: 0.000 0.500 0.000  0.29
N: 0.000 0.000 0.000  0.02

Here is Co2RuAuN after structural relaxation from Alexandria. Energies are from PBE-GGA.

Magnetization: 3.5 μB/f.u.
Uncorrected energy: -34.25 eV for the cell shown
ΔE_f (raw): 0.167 eV per atom
Space-group type: P4/mmm (123)

abc: 3.919 3.919 3.967
angles: 90.00 90.00 90.00
Each line ends with the local moment (μB).
Sites, in units of the cell vectors:
Co: 0.500 0.000 0.000  1.48
Co: 0.000 0.500 0.000  1.48
N: 0.000 0.000 0.000  0.01
Au: 0.500 0.500 0.500  0.10
Ru: 0.000 0.000 0.500  0.51

Here is CoRu2AuN after structural relaxation from Alexandria. Energies are from PBE-GGA.

Magnetization: 2.6 μB/f.u.
Uncorrected energy: -35.84 eV for the cell shown
ΔE_f (raw): 0.284 eV per atom
Space-group type: P4/mmm (123)

abc: 4.049 4.049 3.925
angles: 90.00 90.00 90.00
Each line ends with the local moment (μB).
Sites, in units of the cell vectors:
Ru: 0.000 0.500 0.000  0.58
N: 0.000 0.000 0.000  -0.03
Au: 0.500 0.500 0.500  0.10
Ru: 0.500 0.000 0.000  0.58
Co: 0.000 0.000 0.500  1.42

Here is CoAu2SN after structural relaxation from Alexandria. Energies are from PBE-GGA.

Magnetization: 0.0 μB/f.u.
Uncorrected energy: -22.35 eV for the cell shown
ΔE_f (raw): 0.752 eV per atom
Space-group type: P4/mmm (123)

abc: 4.695 3.476 4.695
angles: 90.00 90.00 90.00
Sites, in units of the cell vectors:
Au: 0.000 0.000 0.500
S: 0.500 0.500 0.500
Au: 0.500 0.000 0.000
N: 0.000 0.000 0.000
Co: 0.000 0.500 0.000